Entry 1:
Entry from OQMD: an optimized crystal structure of Y2Al3ZnNi2 (GGA-PBE).

a b c (Å): 7.4922 7.4922 4.5281
angles (deg): 97.12 97.12 39.56
Closest atoms and distances in Å follow each position.
Fractional positions:
Zn 0.1537 0.1537 0.2706  2 Ni 2.43-2.50, 2 Al 2.53-2.72
Ni 0.2240 0.2240 0.8081  2 Zn 2.43-2.50, 1 Al 2.51
Al 0.9605 0.9605 0.2600  3 Al 2.49-2.68, 1 Ni 2.56, 1 Zn 2.72
Y 0.6369 0.6369 0.6014  4 Ni 2.89-3.11, 3 Al 2.92-3.01, 2 Zn 2.97
Al 0.0447 0.0447 0.7804  2 Al 2.49-2.61, 1 Ni 2.51, 1 Zn 2.53
Ni 0.7774 0.7774 0.1905  3 Al 2.36-2.56
Y 0.3576 0.3576 0.3481  4 Ni 2.83-2.99, 1 Zn 2.85, 4 Al 2.97-3.11
Al 0.8452 0.8452 0.7409  2 Ni 2.36-2.55

## Properties
Magnetic moment, μB per cell: 0.0
Energy, eV/atom: -4.761
V, Å³/atom: 20.1
SG: No. 8

***

Entry 2:
Entry from OQMD: an optimized crystal structure of AlZnNi2 (GGA-PBE).

a b c (Å): 4.0959 4.0959 4.0959
angles (deg): 60.00 60.00 60.00
Closest atoms and distances in Å follow each position.
Fractional positions:
Ni 0.7500 0.7500 0.7500  4 Al 2.51, 4 Ni 2.51
Ni 0.0000 0.0000 0.0000  4 Zn 2.51, 4 Ni 2.51
Zn 0.2500 0.2500 0.2500  4 Al 2.51, 4 Ni 2.51
Al 0.5000 0.5000 0.5000  4 Zn 2.51, 4 Ni 2.51

## Properties
Magnetic moment, μB per cell: 0.0
Energy, eV/atom: -4.324
V, Å³/atom: 12.1
SG: No. 216

***

Entry 3:
Entry from OQMD: an optimized crystal structure of AlZnNi (GGA-PBE).

a b c (Å): 3.9888 3.9888 3.9888
angles (deg): 60.00 60.00 60.00
Closest atoms and distances in Å follow each position.
Fractional positions:
Al 0.2500 0.2500 0.2500  4 Ni 2.44
Ni 0.0000 0.0000 0.0000  4 Al 2.44, 4 Zn 2.44
Zn 0.7500 0.7500 0.7500  4 Ni 2.44

## Properties
Magnetic moment, μB per cell: 0.0
Energy, eV/atom: -3.741
V, Å³/atom: 15.0
SG: No. 216

***

Entry 4:
Entry from OQMD: an optimized crystal structure of ZrAlNi2 (GGA-PBE).

a b c (Å): 4.2916 4.2916 3.1462
angles (deg): 90.00 90.00 90.00
Closest atoms and distances in Å follow each position.
Fractional positions:
Ni 0.5000 0.0000 0.5000  4 Zr 2.66, 4 Al 2.66
Ni 0.0000 0.5000 0.5000  4 Zr 2.66, 4 Al 2.66
Al 0.0000 0.0000 0.0000  8 Ni 2.66
Zr 0.5000 0.5000 0.0000  8 Ni 2.66

## Properties
Magnetic moment, μB per cell: 0.0
Energy, eV/atom: -6.304
V, Å³/atom: 14.5
SG: No. 123

***

Entry 5:
Entry from OQMD: an optimized crystal structure of Zr2AlNi (GGA-PBE).

a b c (Å): 4.6606 4.6606 4.6606
angles (deg): 60.00 60.00 60.00
Closest atoms and distances in Å follow each position.
Fractional positions:
Zr 0.7500 0.7500 0.7500  4 Zr 2.85, 4 Al 2.85
Ni 0.2500 0.2500 0.2500  4 Al 2.85, 4 Zr 2.85
Al 0.5000 0.5000 0.5000  4 Ni 2.85, 4 Zr 2.85
Zr 0.0000 0.0000 0.0000  4 Zr 2.85, 4 Ni 2.85

## Properties
Magnetic moment, μB per cell: 3.0
Energy, eV/atom: -6.604
V, Å³/atom: 17.9
SG: No. 216

***

Entry 6:
Entry from OQMD: an optimized crystal structure of ZrAlNi2 (GGA-PBE).

a b c (Å): 5.3029 6.4400 6.8852
angles (deg): 90.00 90.00 90.00
Closest atoms and distances in Å follow each position.
Fractional positions:
Ni 0.5781 0.5521 0.1839  3 Al 2.35-2.43, 1 Ni 2.55
Al 0.8354 0.7500 0.3914  6 Ni 2.35-2.43
Al 0.6646 0.7500 0.8914  6 Ni 2.35-2.43
Zr 0.1649 0.7500 0.0442  6 Ni 2.71-2.85, 3 Al 2.85-2.96
Ni 0.0781 0.4479 0.3161  3 Al 2.35-2.43, 1 Ni 2.55
Al 0.1646 0.2500 0.6086  6 Ni 2.35-2.43
Ni 0.5781 0.9479 0.1839  3 Al 2.35-2.43, 1 Ni 2.55
Al 0.3354 0.2500 0.1086  6 Ni 2.35-2.43
Ni 0.9219 0.9479 0.6839  3 Al 2.35-2.43, 1 Ni 2.55
Ni 0.4219 0.4479 0.8161  3 Al 2.35-2.43, 1 Ni 2.55
Zr 0.8351 0.2500 0.9558  6 Ni 2.71-2.85, 3 Al 2.85-2.96
Ni 0.0781 0.0521 0.3161  3 Al 2.35-2.43, 1 Ni 2.55
Ni 0.9219 0.5521 0.6839  3 Al 2.35-2.43, 1 Ni 2.55
Zr 0.6649 0.2500 0.4558  6 Ni 2.71-2.85, 3 Al 2.85-2.96
Ni 0.4219 0.0521 0.8161  3 Al 2.35-2.43, 1 Ni 2.55
Zr 0.3351 0.7500 0.5442  6 Ni 2.71-2.85, 3 Al 2.85-2.96

## Properties
Magnetic moment, μB per cell: 0.0
Energy, eV/atom: -6.391
V, Å³/atom: 14.7
SG: No. 62

***

Entry 7:
Entry from OQMD: an optimized crystal structure of ZrAl2Ni (GGA-PBE).

a b c (Å): 4.4720 4.4720 4.4720
angles (deg): 60.00 60.00 60.00
Closest atoms and distances in Å follow each position.
Fractional positions:
Ni 0.5000 0.5000 0.5000  4 Al 2.74, 4 Zr 2.74
Al 0.0000 0.0000 0.0000  4 Al 2.74, 4 Zr 2.74
Al 0.7500 0.7500 0.7500  4 Ni 2.74, 4 Al 2.74
Zr 0.2500 0.2500 0.2500  4 Ni 2.74, 4 Al 2.74

## Properties
Magnetic moment, μB per cell: 0.0
Energy, eV/atom: -5.747
V, Å³/atom: 15.8
SG: No. 216

***

Entry 8:
Entry from OQMD: an optimized crystal structure of ZrAlNi2 (GGA-PBE).

a b c (Å): 4.3320 4.3320 4.3320
angles (deg): 60.00 60.00 60.00
Closest atoms and distances in Å follow each position.
Fractional positions:
Ni 0.0000 0.0000 0.0000  4 Ni 2.65, 4 Zr 2.65
Zr 0.2500 0.2500 0.2500  4 Ni 2.65, 4 Al 2.65
Ni 0.7500 0.7500 0.7500  4 Ni 2.65, 4 Al 2.65
Al 0.5000 0.5000 0.5000  4 Ni 2.65, 4 Zr 2.65

## Properties
Magnetic moment, μB per cell: 0.0
Energy, eV/atom: -6.144
V, Å³/atom: 14.4
SG: No. 216

***

Q: The lowest energy belongs to which entry?
A: Zr2AlNi